# PrSm2Y2Tm2

An optimized crystal structure of PrSm2Y2Tm2 (PBE, Alexandria).

a b c (Å): 11.7361 3.5280 11.8323
angles (deg): 90.00 108.57 90.00
Last column: nearest neighbours and their distance in Å.
Sites, in units of the cell vectors:
Pr  0.0000  0.0000  0.0000  6 Tm 3.53-3.58, 2 Pr 3.53, 4 Y 3.57
Pr  0.5000  0.5000  0.0000  6 Tm 3.53-3.58, 2 Pr 3.53, 4 Y 3.57
Sm  0.1719  0.5000  0.5839  4 Y 3.49-3.63, 5 Sm 3.53-3.89, 2 Tm 3.61
Sm  0.3281  0.0000  0.4161  4 Y 3.49-3.63, 5 Sm 3.53-3.89, 2 Tm 3.61
Sm  0.6719  0.0000  0.5839  4 Y 3.49-3.63, 5 Sm 3.53-3.89, 2 Tm 3.61
Sm  0.8281  0.5000  0.4161  4 Y 3.49-3.63, 5 Sm 3.53-3.89, 2 Tm 3.61
Y  0.0494  0.5000  0.2733  4 Sm 3.49-3.63, 3 Tm 3.49-3.58, 2 Y 3.53, 2 Pr 3.57
Y  0.4506  0.0000  0.7267  4 Sm 3.49-3.63, 3 Tm 3.49-3.58, 2 Y 3.53, 2 Pr 3.57
Y  0.5494  0.0000  0.2733  4 Sm 3.49-3.63, 3 Tm 3.49-3.58, 2 Y 3.53, 2 Pr 3.57
Y  0.9506  0.5000  0.7267  4 Sm 3.49-3.63, 3 Tm 3.49-3.58, 2 Y 3.53, 2 Pr 3.57
Tm  0.2259  0.0000  0.8621  3 Y 3.49-3.58, 3 Pr 3.53-3.58, 4 Tm 3.53-3.59, 2 Sm 3.61
Tm  0.2741  0.5000  0.1379  3 Y 3.49-3.58, 3 Pr 3.53-3.58, 4 Tm 3.53-3.59, 2 Sm 3.61
Tm  0.7259  0.5000  0.8621  3 Y 3.49-3.58, 3 Pr 3.53-3.58, 4 Tm 3.53-3.59, 2 Sm 3.61
Tm  0.7741  0.0000  0.1379  3 Y 3.49-3.58, 3 Pr 3.53-3.58, 4 Tm 3.53-3.59, 2 Sm 3.61

Output
**Calculated formation energy**: 0.091 eV per atom
**Symmetry**: C2/m (12)
**Calculated volume**: 464 Å³ per cell